(1)
DFT (PBE-GGA) results for an optimized crystal structure of MnAlIn2Te6.

## Properties
- Mass density: 5.609 g/cm3
- Formation energy from raw total energies: -0.221 eV/atom
- Calculated total energy: -3.945 eV/atom
- Space-group type: C2/c, No. 15
- Total magnetic moment: 7.97 Bohr magnetons per cell
- Volume: 31.9 A^3/atom

abc: 7.408 9.344 9.344
angles: 84.18 84.34 84.34
Site moments in Bohr magnetons follow the coordinates.
Positions (direct):
Te: 0.419 0.900 0.341  -0.04
Te: 0.612 0.813 0.974  -0.04
Te: 0.581 0.100 0.659  -0.04
Te: 0.355 0.525 0.757  0.00
Te: 0.888 0.026 0.187  -0.04
Te: 0.145 0.243 0.475  0.00
Te: 0.112 0.974 0.813  -0.04
Te: 0.081 0.659 0.100  -0.04
Te: 0.645 0.475 0.243  0.00
Te: 0.388 0.187 0.026  -0.04
Te: 0.919 0.341 0.900  -0.04
Te: 0.855 0.757 0.525  0.00
In: 0.781 0.228 0.414  0.03
In: 0.281 0.414 0.228  0.03
In: 0.719 0.586 0.772  0.03
In: 0.219 0.772 0.586  0.03
Mn: 0.750 0.088 0.912  3.79
Mn: 0.250 0.912 0.088  3.79
Al: 0.250 0.248 0.752  0.01
Al: 0.750 0.752 0.248  0.01

(2)
DFT (PBE-GGA) results for an optimized crystal structure of MnAlIn2Te.

## Properties
- Mass density: 4.737 g/cm3
- Formation energy from raw total energies: 0.618 eV/atom
- Calculated total energy: -3.688 eV/atom
- Space-group type: P4/mmm, No. 123
- Total magnetic moment: 4.98 Bohr magnetons per cell
- Volume: 30.8 A^3/atom

abc: 5.294 5.493 5.294
angles: 90.00 90.00 90.00
Site moments in Bohr magnetons follow the coordinates.
Positions (direct):
Te: 0.000 0.500 0.000  -0.06
In: 0.500 0.000 0.000  0.02
In: 0.000 0.000 0.500  0.01
Mn: 0.500 0.500 0.500  -4.46
Al: 0.000 0.000 0.000  -0.01

(3)
DFT (PBE-GGA) results for an optimized crystal structure of AlInMo2.

## Properties
- Mass density: 8.274 g/cm3
- Energy above the lowest structure with this stoichiometry: 149 meV/atom
- Calculated total energy: -6.865 eV/atom
- Space-group type: I-4m2, No. 119
- Total magnetic moment: 0.00 Bohr magnetons per cell
- Volume: 16.7 A^3/atom
- Formation enthalpy at 0 K: 171 meV per atom

abc: 4.774 4.774 4.774
angles: 127.17 127.17 77.97
Positions (direct):
Mo: 0.250 0.750 0.500
Mo: 0.000 0.000 0.000
In: 0.750 0.250 0.500
Al: 0.500 0.500 0.000

(4)
DFT (PBE-GGA) results for an optimized crystal structure of AlInMo2.

## Properties
- Mass density: 7.572 g/cm3
- Energy above the lowest structure with this stoichiometry: 211 meV/atom
- Calculated total energy: -6.802 eV/atom
- Space-group type: R3m, No. 160
- Total magnetic moment: 0.00 Bohr magnetons per cell
- Volume: 18.3 A^3/atom
- Formation enthalpy at 0 K: 233 meV per atom

abc: 9.142 9.142 9.142
angles: 19.33 19.33 19.33
Positions (direct):
Al: 0.508 0.508 0.508
Mo: 0.990 0.990 0.990
Mo: 0.254 0.254 0.254
In: 0.749 0.749 0.749

(5)
DFT (PBE-GGA) results for an optimized crystal structure of AlInMo2.

## Properties
- Mass density: 8.129 g/cm3
- Energy above the lowest structure with this stoichiometry: 125 meV/atom
- Calculated total energy: -6.888 eV/atom
- Space-group type: Imm2, No. 44
- Total magnetic moment: 0.00 Bohr magnetons per cell
- Volume: 17.0 A^3/atom
- Formation enthalpy at 0 K: 148 meV per atom

abc: 5.263 5.263 5.263
angles: 142.56 128.79 65.14
Positions (direct):
Mo: 0.241 0.741 0.500
Mo: 0.019 0.019 0.000
In: 0.753 0.253 0.500
Al: 0.487 0.487 0.000

(6)
DFT (PBE-GGA) results for an optimized crystal structure of AlInMo2.

## Properties
- Mass density: 8.028 g/cm3
- Energy above the lowest structure with this stoichiometry: 160 meV/atom
- Calculated total energy: -6.854 eV/atom
- Space-group type: P4/mmm, No. 123
- Total magnetic moment: 0.00 Bohr magnetons per cell
- Volume: 17.3 A^3/atom
- Formation enthalpy at 0 K: 182 meV per atom

abc: 3.395 3.395 5.987
angles: 90.00 90.00 90.00
Positions (direct):
In: 0.500 0.500 0.750
Mo: 0.000 0.000 0.046
Mo: 0.000 0.000 0.454
Al: 0.500 0.500 0.250

(7)
DFT (PBE-GGA) results for an optimized crystal structure of Al4InMo2.

## Properties
- Mass density: 4.055 g/cm3
- Calculated total energy: -4.566 eV/atom
- Space-group type: I4/mmm, No. 139
- Total magnetic moment: 0.45 Bohr magnetons per cell
- Volume: 24.3 A^3/atom
- Formation enthalpy at 0 K: 1058 meV per atom

abc: 5.078 5.078 7.500
angles: 70.21 70.21 90.00
Site moments in Bohr magnetons follow the coordinates.
Positions (direct):
Al: 0.206 0.206 0.587  0.00
Al: 0.794 0.794 0.413  0.00
Al: 0.000 0.500 0.000  0.00
Al: 0.500 0.000 0.000  0.00
Mo: 0.587 0.587 0.827  0.19
Mo: 0.413 0.413 0.173  0.19
In: 0.000 0.000 0.000  0.00

(8)
DFT (PBE-GGA) results for an optimized crystal structure of AlInMo2.

## Properties
- Mass density: 8.139 g/cm3
- Energy above the lowest structure with this stoichiometry: 137 meV/atom
- Calculated total energy: -6.876 eV/atom
- Space-group type: Pm, No. 6
- Total magnetic moment: 0.00 Bohr magnetons per cell
- Volume: 17.0 A^3/atom
- Formation enthalpy at 0 K: 159 meV per atom

abc: 4.502 2.854 5.369
angles: 80.65 90.00 90.00
Positions (direct):
Al: 0.000 0.531 0.472
Mo: 0.500 0.215 0.257
Mo: 0.000 0.065 0.014
In: 0.500 0.688 0.757

(9)
DFT (PBE-GGA) results for an optimized crystal structure of AlInMo2.

## Properties
- Mass density: 8.268 g/cm3
- Energy above the lowest structure with this stoichiometry: 350 meV/atom
- Calculated total energy: -6.663 eV/atom
- Space-group type: Fm-3m, No. 225
- Total magnetic moment: 0.00 Bohr magnetons per cell
- Volume: 16.8 A^3/atom
- Formation enthalpy at 0 K: 373 meV per atom

abc: 4.559 4.559 4.559
angles: 60.00 60.00 60.00
Positions (direct):
Mo: 0.750 0.750 0.750
Mo: 0.250 0.250 0.250
Al: 0.000 0.000 0.000
In: 0.500 0.500 0.500

(10)
DFT (PBE-GGA) results for an optimized crystal structure of AlInMo2.

## Properties
- Mass density: 8.227 g/cm3
- Energy above the lowest structure with this stoichiometry: 164 meV/atom
- Calculated total energy: -6.849 eV/atom
- Space-group type: C2/m, No. 12
- Total magnetic moment: 0.00 Bohr magnetons per cell
- Volume: 16.8 A^3/atom
- Formation enthalpy at 0 K: 187 meV per atom

abc: 5.241 5.241 4.520
angles: 65.23 65.23 37.21
Positions (direct):
Mo: 0.007 0.007 0.993
Mo: 0.493 0.493 0.507
Al: 0.750 0.750 0.750
In: 0.250 0.250 0.250

(11)
DFT (PBE-GGA) results for an optimized crystal structure of AlInMo2.

## Properties
- Mass density: 8.075 g/cm3
- Energy above the lowest structure with this stoichiometry: 0 meV/atom
- Calculated total energy: -7.013 eV/atom
- Space-group type: P4mm, No. 99
- Total magnetic moment: 0.00 Bohr magnetons per cell
- Volume: 17.2 A^3/atom
- Formation enthalpy at 0 K: 22 meV per atom

abc: 3.281 3.281 6.374
angles: 90.00 90.00 90.00
Positions (direct):
Mo: 0.000 0.000 0.032
Mo: 0.500 0.500 0.247
In: 0.500 0.500 0.752
Al: 0.000 0.000 0.469

(12)
DFT (PBE-GGA) results for an optimized crystal structure of AlInMo2.

## Properties
- Mass density: 8.203 g/cm3
- Energy above the lowest structure with this stoichiometry: 186 meV/atom
- Calculated total energy: -6.828 eV/atom
- Space-group type: C2/m, No. 12
- Total magnetic moment: 0.00 Bohr magnetons per cell
- Volume: 16.9 A^3/atom
- Formation enthalpy at 0 K: 208 meV per atom

abc: 5.260 5.260 2.806
angles: 81.74 81.74 115.40
Positions (direct):
Mo: 0.500 0.500 0.000
Mo: 0.000 0.000 0.000
Al: 0.500 0.000 0.500
In: 0.000 0.500 0.500